# 1
This record from Alexandria describes crystalline Tm4Zn3Hg at its relaxed geometry. The functional is GGA-PBE.

Unit cell a=3.681 b=4.530 c=11.163 alpha=90.00 beta=90.00 gamma=90.00
Sites, in units of the cell vectors:
Tm: 0.000 0.000 0.157
Tm: 0.500 0.500 0.354
Tm: 0.500 0.000 0.650
Tm: 0.000 0.500 0.842
Zn: 0.000 0.500 0.572
Zn: 0.000 0.000 0.429
Zn: 0.500 0.000 0.919
Hg: 0.500 0.500 0.075

Output
- E above lowest polymorph: 4.6 kJ/mol of atoms
- Space-group type: Pmm2
- E_form: -0.331 eV/atom

---

# 2
This record from Alexandria describes crystalline Tm6Zn2Hg at its relaxed geometry. The functional is GGA-PBE.

Unit cell a=8.441 b=8.441 c=8.441 alpha=107.85 beta=110.86 gamma=109.72
Sites, in units of the cell vectors:
Tm: 0.715 0.394 0.679
Tm: 0.547 0.728 0.818
Tm: 0.910 0.728 0.182
Tm: 0.090 0.272 0.818
Tm: 0.285 0.606 0.321
Tm: 0.797 0.756 0.553
Tm: 0.453 0.272 0.182
Tm: 0.285 0.965 0.679
Tm: 0.715 0.035 0.321
Tm: 0.797 0.244 0.041
Tm: 0.203 0.756 0.959
Tm: 0.203 0.244 0.447
Hg: 0.000 0.500 0.500
Hg: 0.000 0.000 0.000
Zn: 0.500 0.374 0.874
Zn: 0.500 0.626 0.126
Zn: 0.363 0.000 0.363
Zn: 0.637 0.000 0.637

Output
- E above lowest polymorph: 0.0 kJ/mol of atoms
- Space-group type: Immm
- E_form: -0.244 eV/atom

---

# 3
This record from Alexandria describes crystalline Tm2Zn16Hg at its relaxed geometry. The functional is GGA-PBE.

Unit cell a=6.815 b=6.815 c=6.815 alpha=82.83 beta=82.83 gamma=82.83
Sites, in units of the cell vectors:
Zn: 0.837 0.352 0.352
Zn: 0.697 0.000 0.304
Zn: 0.104 0.104 0.104
Zn: 0.352 0.837 0.352
Zn: 0.644 0.644 0.170
Zn: 0.697 0.304 0.000
Zn: 0.644 0.170 0.644
Zn: 0.006 0.490 0.006
Zn: 0.000 0.304 0.697
Zn: 0.490 0.006 0.006
Zn: 0.304 0.000 0.697
Zn: 0.304 0.697 0.000
Zn: 0.006 0.006 0.490
Zn: 0.352 0.352 0.837
Zn: 0.170 0.644 0.644
Zn: 0.000 0.697 0.304
Tm: 0.660 0.660 0.660
Tm: 0.336 0.336 0.336
Hg: 0.896 0.896 0.896

Output
- Space-group type: R3m
- E_form: -0.194 eV/atom

---

# 4
This record from Alexandria describes crystalline Tm2ZnHg2 at its relaxed geometry. The functional is GGA-PBE.

Unit cell a=6.068 b=6.521 c=7.767 alpha=114.82 beta=112.99 gamma=90.00
Sites, in units of the cell vectors:
Hg: 0.884 0.640 0.769
Hg: 0.384 0.128 0.769
Hg: 0.616 0.872 0.231
Hg: 0.116 0.360 0.231
Tm: 0.348 0.638 0.696
Tm: 0.152 0.941 0.304
Tm: 0.848 0.059 0.696
Tm: 0.652 0.362 0.304
Zn: 0.750 0.500 0.000
Zn: 0.250 0.500 0.000

Output
- Space-group type: Ibam
- E_form: -0.250 eV/atom

---

# 5
This record from Alexandria describes crystalline TmZnHg at its relaxed geometry. The functional is GGA-PBE.

Unit cell a=3.443 b=4.659 c=4.659 alpha=120.00 beta=90.00 gamma=90.00
Sites, in units of the cell vectors:
Zn: 0.166 0.000 0.000
Tm: 0.667 0.667 0.333
Hg: 0.167 0.333 0.667

Output
- Space-group type: P-6m2
- E_form: -0.382 eV/atom

---

# 6
This record from Alexandria describes crystalline Tm5Zn4Hg at its relaxed geometry. The functional is GGA-PBE.

Unit cell a=3.536 b=3.536 c=17.914 alpha=90.00 beta=90.00 gamma=90.00
Sites, in units of the cell vectors:
Zn: 0.000 0.000 0.208
Zn: 0.000 0.000 0.792
Zn: 0.000 0.000 0.598
Zn: 0.000 0.000 0.402
Hg: 0.000 0.000 0.000
Tm: 0.500 0.500 0.305
Tm: 0.500 0.500 0.695
Tm: 0.500 0.500 0.110
Tm: 0.500 0.500 0.500
Tm: 0.500 0.500 0.890

Output
- Space-group type: P4/mmm
- E_form: -0.377 eV/atom

---

# 7
This record from Alexandria describes crystalline Tm3Zn4Hg4 at its relaxed geometry. The functional is GGA-PBE.

Unit cell a=3.484 b=4.667 c=14.655 alpha=80.92 beta=83.20 gamma=90.01
Sites, in units of the cell vectors:
Tm: 0.143 0.644 0.714
Tm: 0.857 0.356 0.286
Tm: 0.000 0.000 0.000
Hg: 0.552 0.550 0.900
Hg: 0.448 0.450 0.100
Hg: 0.686 0.187 0.628
Hg: 0.314 0.813 0.372
Zn: 0.406 0.906 0.187
Zn: 0.263 0.262 0.474
Zn: 0.594 0.094 0.813
Zn: 0.737 0.738 0.526

Output
- Space-group type: P-1
- E_form: -0.300 eV/atom

---

# 8
This record from Alexandria describes crystalline Tm2Zn5Hg at its relaxed geometry. The functional is GGA-PBE.

Unit cell a=4.252 b=8.324 c=9.045 alpha=90.00 beta=90.00 gamma=104.80
Sites, in units of the cell vectors:
Zn: 0.811 0.622 0.392
Zn: 0.652 0.305 0.021
Zn: 0.189 0.378 0.892
Zn: 0.388 0.776 0.250
Zn: 0.612 0.224 0.750
Zn: 0.348 0.695 0.521
Zn: 0.348 0.695 0.979
Zn: 0.652 0.305 0.479
Zn: 0.811 0.622 0.108
Zn: 0.189 0.378 0.608
Tm: 0.000 0.000 0.000
Tm: 0.802 0.604 0.750
Tm: 0.198 0.396 0.250
Tm: 0.000 0.000 0.500
Hg: 0.549 0.098 0.250
Hg: 0.451 0.902 0.750

Output
- Space-group type: Cmcm
- E_form: -0.308 eV/atom